(1)
ZrZnAg2 (PBE, optimized geometry); Fermi-level density of states = 0.814 states/eV/atom; E = -15.830 eV per formula unit; space group = P4mm; total magnetic moment = 0.00 μB/atom; crystal system = tetragonal; energy of formation = -76.5 meV/atom
1.0
3.1407 0.0000 0.0000
0.0000 3.1407 0.0000
0.0000 0.0000 7.4147
Zr Zn Ag
1 1 2
Direct
0.0000 0.0000 0.0000
0.5000 0.5000 0.7499
0.0000 0.0000 0.5346
0.5000 0.5000 0.2791



(2)
ZrZn17Ag (PBE, optimized geometry); Fermi-level density of states = 0.237 states/eV/atom; E = -34.076 eV per formula unit; space group = R3m; total magnetic moment = 0.00 μB/atom; crystal system = trigonal; energy of formation = -53.6 meV/atom
1.0
4.3975 2.5389 4.4461
-4.3975 2.5389 4.4461
0.0000 -5.0777 4.4461
Zr Zn Ag
1 17 1
Direct
0.0000 0.0000 0.0000
0.0101 0.0101 0.5090
0.0101 0.5090 0.0101
0.1739 0.6800 0.6800
0.3215 0.3215 0.8331
0.3215 0.8331 0.3215
0.3582 0.6593 0.9971
0.3582 0.9971 0.6593
0.5090 0.0101 0.0101
0.5729 0.5729 0.5729
0.6593 0.3582 0.9971
0.6593 0.9971 0.3582
0.6800 0.1739 0.6800
0.6800 0.6800 0.1739
0.7690 0.7690 0.7690
0.8331 0.3215 0.3215
0.9971 0.3582 0.6593
0.9971 0.6593 0.3582
0.2601 0.2601 0.2601



(3)
ZrZn3Ag (PBE, optimized geometry); Fermi-level density of states = 0.502 states/eV/atom; E = -15.346 eV per formula unit; space group = P2_1/m; total magnetic moment = 0.00 μB/atom; crystal system = monoclinic; energy of formation = -24.9 meV/atom
1.0
4.4925 0.0000 0.0000
0.0000 6.4040 0.0000
-2.2328 0.0000 6.0639
Zr Zn Ag
2 6 2
Direct
0.1224 0.2500 0.2454
0.8776 0.7500 0.7546
0.3227 0.0037 0.6446
0.3227 0.4963 0.6446
0.4903 0.2500 0.9793
0.5097 0.7500 0.0207
0.6773 0.5037 0.3554
0.6773 0.9963 0.3554
0.1354 0.7500 0.2727
0.8646 0.2500 0.7273